Computed, not measured: crystalline NiC3Cl at its relaxed geometry at the GGA-PBE level of DFT.

Cell lengths 3.579, 3.579, 3.579 Å; angles 90.00, 90.00, 90.00 degrees
Positions (direct):
Ni: 0.500 0.500 0.500
C: 0.000 0.500 0.000
C: 0.000 0.000 0.500
C: 0.500 0.000 0.000
Cl: 0.000 0.000 0.000

Calculated values
Mass density   4.71 g cm⁻³
Space group   Pm-3m
Total moment   0.0 μB per formula unit
Energy relative to the elements, uncorrected   3.3999 eV/atom


Computed, not measured: crystalline TmZr2Nb at its relaxed geometry at the GGA-PBE level of DFT.

Cell lengths 5.041, 5.041, 5.041 Å; angles 60.00, 60.00, 60.00 degrees
Positions (direct):
Nb: 0.500 0.500 0.500
Tm: 0.000 0.000 0.000
Zr: 0.250 0.250 0.250
Zr: 0.750 0.750 0.750

Calculated values
Mass density   8.14 g cm⁻³
Space group   Fm-3m
Energy of formation from the pure elements   0.19 eV/atom
Total moment   0.0 μB per formula unit


Computed, not measured: crystalline CaTe2 at its relaxed geometry at the GGA-PBE level of DFT.

Cell lengths 5.733, 5.733, 6.345 Å; angles 90.00, 90.00, 120.00 degrees
Positions (direct):
Ca: 0.333 0.667 0.250
Ca: 0.667 0.333 0.750
Te: 0.000 0.000 0.000
Te: 0.000 0.000 0.500
Te: 0.333 0.667 0.750
Te: 0.667 0.333 0.250

Calculated values
Mass density   5.43 g cm⁻³
Space group   P6_3/mmc
Total moment   0.0 μB per formula unit
Energy relative to the elements, uncorrected   -0.7734 eV/atom